DFT (PBE) results for a relaxed Sr2MnMoN5 crystal.

Lattice parameters (Å, degrees): 3.1961 15.1472 10.4921 90.00 90.00 90.00
Last column: nearest neighbours and their distance in Å.
Space group Cmc2_1 (No. 36)
Symmetry-distinct sites (fractional):
1 Sr 0.0000 0.1241 0.0000 (multiplicity 4)  7 N 2.64-2.76
2 Sr 0.0000 0.1299 0.6225 (multiplicity 4)  6 N 2.60-2.62
3 Mn 0.0000 0.4452 0.7486 (multiplicity 4)  3 N 1.64-1.80
4 Mo 0.0000 0.2125 0.3340 (multiplicity 4)  1 N 1.79
5 N 0.0000 0.0486 0.3265 (multiplicity 4)  2 Mn 1.80
6 N 0.0000 0.2964 0.9571 (multiplicity 4)  2 Mo 2.06
7 N 0.0000 0.3262 0.7020 (multiplicity 4)  1 Mn 1.87
8 N 0.0000 0.3295 0.3112 (multiplicity 4)  1 Mo 1.79
9 N 0.0000 0.4949 0.6095 (multiplicity 4)  1 Mn 1.64

Results
formation energy without anion corrections = -517 meV/atom
spin magnetization = 0.000 μB/f.u.
uncorrected energy = -7.74 eV per atom